Record 1
A plane-wave DFT calculation with GGA-PBE was carried out for B5C7 after structural relaxation.

## Properties
Formation energy from the elements: 0.35 eV/atom
Excess energy over the best structure of this formula in the dataset: 88 meV/atom
Spin magnetization: 0.00 μB/atom

```
data_B5C7
_symmetry_space_group_name_H-M 'P 1 m 1'
_symmetry_Int_Tables_number 6
_cell_length_a 3.6995
_cell_length_b 2.5788
_cell_length_c 8.6234
_cell_angle_alpha 90.00
_cell_angle_beta 90.38
_cell_angle_gamma 90.00
loop_
_symmetry_equiv_pos_as_xyz
'x,y,z'
'x,-y,z'
loop_
_atom_site_label
_atom_site_type_symbol
_atom_site_fract_x
_atom_site_fract_y
_atom_site_fract_z
_atom_site_occupancy
B1 B 0.0000 0.0000 0.0000 1
B2 B 0.0239 0.0000 0.3221 1
B3 B 0.1827 0.0000 0.5300 1
B4 B 0.4273 0.5000 0.1246 1
B5 B 0.5791 0.5000 0.5312 1
C1 C 0.2381 0.0000 0.1699 1
C2 C 0.2472 0.0000 0.8413 1
C3 C 0.4902 0.5000 0.8441 1
C4 C 0.7136 0.5000 0.9933 1
C5 C 0.7469 0.5000 0.7034 1
C6 C 0.9193 0.5000 0.4184 1
C7 C 0.9875 0.0000 0.7009 1
```



Record 2
A plane-wave DFT calculation with GGA-PBE was carried out for PuNp2NiS5 after structural relaxation.

## Properties
Spin magnetization: 0.55 μB/atom
Formation energy without anion corrections: -1.284 eV/atom

```
data_PuNp2NiS5
_symmetry_space_group_name_H-M 'C m c 21'
_symmetry_Int_Tables_number 36
_cell_length_a 3.7283
_cell_length_b 16.3047
_cell_length_c 11.6846
_cell_angle_alpha 90.00
_cell_angle_beta 90.00
_cell_angle_gamma 90.00
loop_
_symmetry_equiv_pos_as_xyz
'x,y,z'
'-x,-y,z+1/2'
'-x,y,z'
'x,-y,z+1/2'
'x+1/2,y+1/2,z'
'-x+1/2,-y+1/2,z+1/2'
'-x+1/2,y+1/2,z'
'x+1/2,-y+1/2,z+1/2'
loop_
_atom_site_label
_atom_site_type_symbol
_atom_site_fract_x
_atom_site_fract_y
_atom_site_fract_z
_atom_site_occupancy
Pu1 Pu 0.0000 0.1806 0.0000 1
Np1 Np 0.0000 0.1073 0.3222 1
Np2 Np 0.0000 0.1191 0.6674 1
Ni1 Ni 0.0000 0.4514 0.3869 1
S1 S 0.0000 0.0135 0.9830 1
S2 S 0.0000 0.3037 0.6700 1
S3 S 0.0000 0.3201 0.3298 1
S4 S 0.0000 0.3462 0.9934 1
S5 S 0.0000 0.4948 0.7164 1
```



Record 3
A plane-wave DFT calculation with GGA-PBE was carried out for Ta2IO after structural relaxation.

## Properties
Excess energy over the best structure of this formula in the dataset: 0 meV/atom
Spin magnetization: 0.00 μB/atom
Formation energy without anion corrections: -0.012 eV/atom

```
data_Ta2IO
_symmetry_space_group_name_H-M 'I -4 2 d'
_symmetry_Int_Tables_number 122
_symmetry_space_group_name_Hall 'I -4 2bw'
_cell_length_a 5.1478
_cell_length_b 5.1478
_cell_length_c 12.3517
_cell_angle_alpha 90.00
_cell_angle_beta 90.00
_cell_angle_gamma 90.00
loop_
_atom_site_label
_atom_site_type_symbol
_atom_site_fract_x
_atom_site_fract_y
_atom_site_fract_z
_atom_site_occupancy
Ta1 Ta 0.1104 0.2500 0.1250 1
I1 I 0.0000 0.0000 0.5000 1
O1 O 0.0000 0.0000 0.0000 1
```



Listing DOS(E_F) for the structures above in their given order: 1.74; 24.20; 6.09 states/eV/f.u..